LiTiTlAg: optimized geometry, PBE.

a b c (Å): 4.6869 4.6869 4.6869
angles (deg): 60.00 60.00 60.00
Fractional positions:
Ti 0.2500 0.2500 0.2500
Ag 0.0000 0.0000 0.0000
Tl 0.5000 0.5000 0.5000
Li 0.7500 0.7500 0.7500

## Properties
As for the electronic total energy: -3.755 eV/atom. For the density of states at the Fermi level, the calculation gives 2.59 states/eV per cell.

SiSeS: optimized geometry, PBE.

a b c (Å): 3.6890 6.9723 8.3969
angles (deg): 131.19 77.30 105.38
Fractional positions:
Se 0.3504 0.0264 0.3263
Se 0.6496 0.9736 0.6737
S 0.9130 0.6295 0.8062
S 0.0870 0.3705 0.1938
Si 0.1642 0.7487 0.4195
Si 0.8358 0.2513 0.5805

## Properties
As for the electronic total energy: -4.574 eV/atom. The energy above the lowest structure with this stoichiometry comes out at 0.941 eV per formula unit. For the density of states at the Fermi level, the calculation gives 0.30 states/eV per cell. The calculation puts the raw formation energy at -0.2291 eV per atom.